No. 1
This record from the Alexandria database describes a relaxed structure of Tl4GaPb5. The functional is PBE.

Summary:
- ΔH_f (0 K) (eV/atom) = 0.00

Cell lengths 3.469, 3.469, 25.126 Å; angles 90.00, 90.00, 90.00 degrees
Space group P4/mmm (No. 123)
Inequivalent atoms, fractional coordinates:
Tl1 0.000 0.000 0.104
Tl2 0.000 0.000 0.313
Ga1 0.000 0.000 0.500
Pb1 0.500 0.500 0.000
Pb2 0.500 0.500 0.208
Pb3 0.500 0.500 0.416



No. 2
This record from the Alexandria database describes a relaxed structure of CuSiS2Cl. The functional is PBE.

Summary:
- formation energy from raw total energies (eV/atom) = 0.296
- energy relative to the lowest polymorph listed for this composition (meV/atom) = 0

Cell lengths 4.522, 4.522, 4.677 Å; angles 90.00, 90.00, 90.00 degrees
Space group P4/mmm (No. 123)
Inequivalent atoms, fractional coordinates:
Cu1 0.000 0.000 0.000
Si1 0.500 0.500 0.500
S1 0.000 0.500 0.500
Cl1 0.500 0.500 0.000



No. 3
This record from the Alexandria database describes a relaxed structure of BeNbIr. The functional is PBE.

Summary:
- energy relative to the lowest polymorph listed for this composition (meV/atom) = 130
- ΔH_f (0 K) (eV/atom) = -0.44

Cell lengths 2.894, 2.894, 9.726 Å; angles 90.00, 90.00, 90.00 degrees
Space group I4mm (No. 107)
Inequivalent atoms, fractional coordinates:
Be1 0.000 0.000 0.000
Nb1 0.000 0.000 0.685
Ir1 0.000 0.000 0.382



No. 4
This record from the Alexandria database describes a relaxed structure of Zr4ScTl5. The functional is PBE.

Summary:
- energy relative to the lowest polymorph listed for this composition (meV/atom) = 0
- ΔH_f (0 K) (eV/atom) = -0.11

Cell lengths 3.226, 3.226, 22.040 Å; angles 90.00, 90.00, 90.00 degrees
Space group P4/mmm (No. 123)
Inequivalent atoms, fractional coordinates:
Zr1 0.000 0.000 0.100
Zr2 0.000 0.000 0.299
Sc1 0.000 0.000 0.500
Tl1 0.500 0.500 0.000
Tl2 0.500 0.500 0.200
Tl3 0.500 0.500 0.400



No. 5
This record from the Alexandria database describes a relaxed structure of CsRb3W2S8. The functional is PBE.

Summary:
- formation energy from raw total energies (eV/atom) = -0.952

Cell lengths 7.2799, 7.2799, 11.9196 Å; angles 90.00, 90.00, 120.00 degrees
Space group P-3m1 (No. 164)
Inequivalent atoms, fractional coordinates:
Cs1 0.0000 0.0000 0.0000
Rb1 0.0000 0.0000 0.5000
Rb2 0.3333 0.6667 0.2478
W1 0.3333 0.6667 0.7034
S1 0.1676 0.3353 0.7645
S2 0.3333 0.6667 0.5196



No. 6
This record from the Alexandria database describes a relaxed structure of SmPb5. The functional is PBE.

Summary:
- energy relative to the lowest polymorph listed for this composition (meV/atom) = 0
- ΔH_f (0 K) (eV/atom) = -0.18

Cell lengths 4.831, 15.916, 4.752 Å; angles 90.00, 90.00, 90.00 degrees
Space group Cmmm (No. 65)
Inequivalent atoms, fractional coordinates:
Sm1 0.000 0.000 0.000
Pb1 0.000 0.169 0.500
Pb2 0.000 0.342 0.000
Pb3 0.000 0.500 0.500



No. 7
This record from the Alexandria database describes a relaxed structure of ZnCd6In2. The functional is PBE.

Summary:
- energy relative to the lowest polymorph listed for this composition (meV/atom) = 31
- ΔH_f (0 K) (eV/atom) = 0.07

Cell lengths 14.941, 6.408, 4.909 Å; angles 90.00, 104.55, 90.00 degrees
Space group C2/m (No. 12)
Inequivalent atoms, fractional coordinates:
Zn1 0.000 0.000 0.000
Cd1 0.000 0.243 0.500
Cd2 0.153 0.247 0.073
In1 0.182 0.500 0.587



No. 8
This record from the Alexandria database describes a relaxed structure of LiHf2TeIr. The functional is PBE.

Summary:
- formation energy from raw total energies (eV/atom) = 0.343

Cell lengths 4.957, 4.957, 5.735 Å; angles 90.00, 90.00, 90.00 degrees
Space group P4/mmm (No. 123)
Inequivalent atoms, fractional coordinates:
Li1 0.000 0.000 0.000
Hf1 0.000 0.500 0.500
Te1 0.500 0.500 0.000
Ir1 0.500 0.500 0.500